A plane-wave DFT calculation with PBE with a Hubbard U was carried out for a relaxed Na2MnNbO4 crystal.

a b c (Å): 3.022 5.368 5.833
angles (deg): 106.93 90.00 90.00
Each line ends with the local moment (μB).
Sites, in units of the cell vectors:
Na 0.500 0.000 0.500  0.00
Na 0.000 0.500 0.500  0.00
Mn 0.000 0.000 0.000  1.03
Nb 0.500 0.500 0.000  -0.14
O 0.500 0.247 0.202  0.00
O 0.500 0.753 0.798  0.00
O 0.000 0.259 0.776  0.00
O 0.000 0.741 0.224  0.00

Values from the calculation:
Space group = P2/m (10)
Electronic total energy = -6.6567 eV per atom